HgSb2Cl | GGA-PBEsol | optimized geometry

Unit cell a=3.3749 b=3.9492 c=7.3883 alpha=90.00 beta=90.00 gamma=90.00
Last column: nearest neighbours and their distance in Å.
Sites, in units of the cell vectors:
Sb: 0.0000 0.0000 0.7170  4 Hg 3.05, 3 Sb 3.21-3.37, 4 Cl 3.33
Sb: 0.0000 0.0000 0.2830  4 Hg 3.05, 3 Sb 3.21-3.37, 4 Cl 3.33
Hg: 0.5000 0.5000 0.5000  8 Sb 3.05, 2 Hg 3.37
Cl: 0.5000 0.5000 0.0000  8 Sb 3.33, 2 Cl 3.37, 2 Hg 3.69

Calculated values
crystal system = orthorhombic
formation energy (no corrections) = 0.088 eV/f.u.
space-group type = Pmmm, No. 47
Fermi-level density of states = 1.89 states/eV/cell
energy above the most stable polymorph in this dataset = 139.8 meV per atom